(1)
The following is a PBE calculation of crystalline Mg2SbIr at its relaxed geometry, from Alexandria via LeMat-Bulk.

As for the formation energy without anion corrections: -0.292 eV/f.u.

The space group is I-42d (No. 122) and the conventional cell measures 10.0922, 10.0922 and 4.9505 Å, with angles of 90.00, 90.00 and 90.00 degrees. The asymmetric unit holds Mg at (0.0008, 0.2500, 0.1250), Sb at (0.0000, 0.0000, 0.5000) and Ir at (0.0000, 0.0000, 0.0000).

(2)
The following is a PBE calculation of crystalline Mg2Sb2Ir at its relaxed geometry, from Alexandria via LeMat-Bulk.

As for the formation energy without anion corrections: -0.178 eV/f.u.

The space group is P4/mbm (No. 127) and the conventional cell measures 6.9064, 6.9064 and 4.7994 Å, with angles of 90.00, 90.00 and 90.00 degrees. The asymmetric unit holds Mg at (0.1700, 0.3300, 0.0000), Sb at (0.1499, 0.6499, 0.5000) and Ir at (0.0000, 0.0000, 0.5000).

(3)
The following is a PBE calculation of crystalline Mg2SbIr at its relaxed geometry, from Alexandria via LeMat-Bulk.

As for the formation energy without anion corrections: -0.680 eV/f.u.

The space group is Cmmm (No. 65) and the conventional cell measures 5.7658, 8.0524 and 3.1829 Å, with angles of 90.00, 90.00 and 90.00 degrees. The asymmetric unit holds Mg at (0.2500, 0.2500, 0.0000), Sb at (0.0000, 0.0000, 0.5000) and Ir at (0.0000, 0.5000, 0.5000).

(4)
The following is a PBE calculation of crystalline MgSb2Ir at its relaxed geometry, from Alexandria via LeMat-Bulk.

As for the formation energy without anion corrections: -0.606 eV/f.u.

The space group is Cmmm (No. 65) and the conventional cell measures 5.0652, 9.8925 and 4.2401 Å, with angles of 90.00, 90.00 and 90.00 degrees. The asymmetric unit holds Mg at (0.0000, 0.0000, 0.0000), Sb at (0.0000, 0.3412, 0.5000) and Ir at (0.0000, 0.5000, 0.0000).

(5)
The following is a PBE calculation of crystalline Mg2SbIr at its relaxed geometry, from Alexandria via LeMat-Bulk.

As for the formation energy without anion corrections: -0.875 eV/f.u.

The space group is P4/mmm (No. 123) and the conventional cell measures 4.2127, 4.2127 and 4.1059 Å, with angles of 90.00, 90.00 and 90.00 degrees. The asymmetric unit holds Mg at (0.0000, 0.5000, 0.0000), Sb at (0.0000, 0.0000, 0.5000) and Ir at (0.5000, 0.5000, 0.5000).

(6)
The following is a PBE calculation of crystalline Mg2SbIr at its relaxed geometry, from Alexandria via LeMat-Bulk.

As for the formation energy without anion corrections: -0.829 eV/f.u.

The space group is I4/mmm (No. 139) and the conventional cell measures 4.1168, 4.1168 and 8.5876 Å, with angles of 90.00, 90.00 and 90.00 degrees. The asymmetric unit holds Mg at (0.0000, 0.5000, 0.2500), Sb at (0.0000, 0.0000, 0.0000) and Ir at (0.0000, 0.0000, 0.5000).

(7)
The following is a PBE calculation of crystalline MgSb2Ir at its relaxed geometry, from Alexandria via LeMat-Bulk.

As for the formation energy without anion corrections: -0.593 eV/f.u.

The space group is C2/m (No. 12) and the conventional cell measures 6.8856, 3.9766 and 7.2863 Å, with angles of 90.00, 108.28 and 90.00 degrees. The asymmetric unit holds Mg at (0.0000, 0.0000, 0.0000), Sb at (0.2334, 0.0000, 0.7006) and Ir at (0.0000, 0.5000, 0.5000).

(8)
The following is a PBE calculation of crystalline MgSb2Ir at its relaxed geometry, from Alexandria via LeMat-Bulk.

As for the formation energy without anion corrections: 0.394 eV/f.u.

The space group is I-4m2 (No. 119) and the conventional cell measures 4.2847, 4.2847 and 8.8945 Å, with angles of 90.00, 90.00 and 90.00 degrees. The asymmetric unit holds Mg at (0.0000, 0.0000, 0.0000), Sb at (0.0000, 0.0000, 0.5000), Sb at (0.0000, 0.5000, 0.7500) and Ir at (0.0000, 0.5000, 0.2500).

(9)
The following is a PBE calculation of crystalline MgSbIr3 at its relaxed geometry, from Alexandria via LeMat-Bulk.

As for the formation energy without anion corrections: 6.060 eV/f.u. The distance to the lowest polymorph of the same formula comes out at 0.0 kJ per mole of atoms.

The space group is Pm-3m (No. 221) and the conventional cell measures 4.8455, 4.8455 and 4.8455 Å, with angles of 90.00, 90.00 and 90.00 degrees. The asymmetric unit holds Mg at (0.0000, 0.0000, 0.0000), Sb at (0.5000, 0.5000, 0.5000) and Ir at (0.0000, 0.5000, 0.5000).

(10)
The following is a PBE calculation of crystalline MgSb2Ir at its relaxed geometry, from Alexandria via LeMat-Bulk.

As for the formation energy without anion corrections: 0.994 eV/f.u.

The space group is F-43m (No. 216) and the conventional cell measures 6.9387, 6.9387 and 6.9387 Å, with angles of 90.00, 90.00 and 90.00 degrees. The asymmetric unit holds Mg at (0.0000, 0.0000, 0.0000), Sb at (0.0000, 0.0000, 0.5000), Sb at (0.2500, 0.2500, 0.2500) and Ir at (0.2500, 0.2500, 0.7500).

(11)
The following is a PBE calculation of crystalline Mg2SbIr at its relaxed geometry, from Alexandria via LeMat-Bulk.

As for the formation energy without anion corrections: -1.084 eV/f.u.

The space group is P4/mmm (No. 123) and the conventional cell measures 3.1364, 3.1364 and 8.0770 Å, with angles of 90.00, 90.00 and 90.00 degrees. The asymmetric unit holds Mg at (0.0000, 0.0000, 0.1911), Sb at (0.5000, 0.5000, 0.5000) and Ir at (0.5000, 0.5000, 0.0000).

(12)
The following is a PBE calculation of crystalline MgSb2Ir at its relaxed geometry, from Alexandria via LeMat-Bulk.

As for the formation energy without anion corrections: 0.032 eV/f.u.

The space group is Pmmm (No. 47) and the conventional cell measures 3.1790, 3.4447 and 7.8259 Å, with angles of 90.00, 90.00 and 90.00 degrees. The asymmetric unit holds Mg at (0.0000, 0.0000, 0.0000), Sb at (0.5000, 0.5000, 0.2874) and Ir at (0.0000, 0.0000, 0.5000).